1.
Entry from the Alexandria database: an optimized crystal structure of Sm5Er3Tm (PBE).

a = 8.744 Å, b = 8.744 Å, c = 11.851 Å
α = 107.12°, β = 107.12°, γ = 44.84°
Sites, in units of the cell vectors:
Sm: 0.020 0.408 0.765
Sm: 0.187 0.813 0.750
Sm: 0.263 0.371 0.552
Sm: 0.371 0.263 0.052
Sm: 0.408 0.020 0.265
Sm: 0.592 0.980 0.735
Sm: 0.629 0.737 0.948
Sm: 0.737 0.629 0.448
Sm: 0.813 0.187 0.250
Sm: 0.980 0.592 0.235
Er: 0.053 0.159 0.012
Er: 0.159 0.053 0.512
Er: 0.500 0.500 0.000
Er: 0.500 0.500 0.500
Er: 0.841 0.947 0.488
Er: 0.947 0.841 0.988
Tm: 0.303 0.697 0.250
Tm: 0.697 0.303 0.750

Results
- E_form: 0.1981 eV per atom
- Excess energy over the best structure of this formula in the dataset: 0.0000 eV/atom
- Crystal system: monoclinic
- Spin magnetization: 0.00 μB/f.u.
- Volume: 33.64 A^3/atom

2.
Entry from the Alexandria database: an optimized crystal structure of SmEr4Tm6 (PBE).

a = 5.545 Å, b = 5.545 Å, c = 25.380 Å
α = 90.00°, β = 90.00°, γ = 119.70°
Sites, in units of the cell vectors:
Sm: 0.171 0.829 0.750
Sm: 0.829 0.171 0.250
Er: 0.165 0.835 0.041
Er: 0.165 0.835 0.459
Er: 0.494 0.506 0.121
Er: 0.494 0.506 0.379
Er: 0.506 0.494 0.621
Er: 0.506 0.494 0.879
Er: 0.835 0.165 0.541
Er: 0.835 0.165 0.959
Tm: 0.162 0.838 0.181
Tm: 0.162 0.838 0.319
Tm: 0.171 0.829 0.602
Tm: 0.171 0.829 0.898
Tm: 0.495 0.505 0.250
Tm: 0.500 0.500 0.000
Tm: 0.500 0.500 0.500
Tm: 0.505 0.495 0.750
Tm: 0.829 0.171 0.102
Tm: 0.829 0.171 0.398
Tm: 0.838 0.162 0.681
Tm: 0.838 0.162 0.819

Results
- E_form: 0.1242 eV per atom
- Excess energy over the best structure of this formula in the dataset: 0.0000 eV/atom
- Crystal system: orthorhombic
- Spin magnetization: 0.00 μB/f.u.
- Volume: 30.82 A^3/atom

Question: What is the volume in the second record?
Answer: 30.82 A^3/atom

Question: Look up the volume of the first one.
Answer: 33.64 A^3/atom

Question: What is the excess energy over the best structure of this formula in the dataset in the second record?
Answer: 0.0000 eV/atom